1.
Here is an optimized crystal structure of ReTcBi from the Open Quantum Materials Database. Energies are from PBE.

Its calculated volume is 60.42 Å³/f.u. The value obtained for the total magnetic moment is 0.001 μB per atom. The value obtained for the energy above the most stable polymorph in this dataset is 0.000 eV/atom.

The structure belongs to space group F-43m (No. 216); the cell edges are 6.229, 6.229 and 6.229 Å and the angles 90.00°, 90.00° and 90.00°. The inequivalent atoms are Re at (0.000, 0.000, 0.000), Tc at (0.250, 0.250, 0.750) and Bi at (0.000, 0.000, 0.500).



2.
Here is an optimized crystal structure of Re2BiTe6 from the Open Quantum Materials Database. Energies are from PBE.

Its calculated volume is 248.57 Å³/f.u. The value obtained for the total magnetic moment is 0.001 μB per atom. The calculation puts the calculated total energy at -189.8 eV per cell.

The structure belongs to space group C2/c (No. 15); the cell edges are 21.720, 6.716 and 6.862 Å and the angles 90.00°, 96.57° and 90.00°. The inequivalent atoms are Re at (0.186, 0.243, 0.088), Bi at (0.000, 0.040, 0.250), Te at (0.066, 0.343, 0.002), Te at (0.149, 0.111, 0.437) and Te at (0.206, 0.394, 0.746).



3.
Here is an optimized crystal structure of ThReBi from the Open Quantum Materials Database. Energies are from PBE.

Its calculated volume is 84.55 Å³/f.u. The value obtained for the total magnetic moment is 0.556 μB per atom. The calculation puts the calculated total energy at -83.9 eV per cell.

The structure belongs to space group F-43m (No. 216); the cell edges are 6.967, 6.967 and 6.967 Å and the angles 90.00°, 90.00° and 90.00°. The inequivalent atoms are Th at (0.000, 0.000, 0.000), Re at (0.000, 0.000, 0.500) and Bi at (0.250, 0.250, 0.750).